First-principles (PBE-GGA) data for a geometry-optimized Ca2SmGa3Au12 structure, as listed in Alexandria. Values from VASP.

Cell and atoms, written as Quantum ESPRESSO input:
```
&SYSTEM
  ibrav = 0, nat = 18, ntyp = 4
/
ATOMIC_SPECIES
Ca 40.08 Ca.upf
Sm 150.36 Sm.upf
Ga 69.72 Ga.upf
Au 196.97 Au.upf
CELL_PARAMETERS angstrom
3.498 2.019 9.892
-3.498 2.019 9.892
0.000 -4.039 9.892
ATOMIC_POSITIONS angstrom
Ca 0.000 0.000 4.067
Ca 0.000 0.000 25.610
Sm 0.000 0.000 14.839
Ga -1.749 -1.010 9.892
Ga -1.749 1.010 19.785
Ga 0.000 2.019 9.892
Au -2.032 -1.173 13.113
Au 0.000 -2.412 8.577
Au -2.088 1.206 8.577
Au -2.088 -1.206 21.100
Au 0.000 -2.347 16.564
Au -2.032 1.173 16.564
Au 2.032 -1.173 13.113
Au 0.000 2.347 13.113
Au 2.088 1.206 8.577
Au 2.088 -1.206 21.100
Au 0.000 2.412 21.100
Au 2.032 1.173 16.564
```

Calculated values
M_tot: 0.0 μB/f.u.
Energy: -3.452 eV per atom
ΔH_f (0 K): -0.278 eV per atom